Density functional theory data (GGA-PBE) for AlFe3H after structural relaxation.

```
AlFe3H
1.0
4.4727 0.0031 0.0224
-0.0032 5.0790 0.0183
-0.5999 1.2213 4.2399
Fe H Al
6 2 2
Cartesian
3.9031 4.8187 0.5796
2.3894 4.7686 2.5247
0.1251 0.9259 2.5364
3.8788 2.2344 0.5836
1.6388 0.9771 0.5920
0.1494 3.5108 2.5333
-0.3297 2.1669 3.7330
3.7582 4.7992 3.6233
1.6714 3.5396 0.4238
2.3569 2.2059 2.6929
```

Properties
Magnetic moment   3.08 μB per formula unit
Space group   P-1, No. 2
Energy above the most stable polymorph in this dataset   0.128 eV/atom
DFT total energy   -6.54 eV per atom